Here is a geometry-optimized Tb2Y2Tl structure from Alexandria via LeMat-Bulk. Energies are from GGA-PBE.

```
Tb2Y2Tl
1.0
-3.8878 -3.2947 0.1529
2.5572 -3.1603 -3.0768
5.8783 -2.4519 11.6279
Tb Y Tl
4 4 2
Cartesian
5.6788 -6.3740 7.0425 Tb
1.1284 -5.1817 2.0360 Tb
3.4193 -3.7252 6.6680 Tb
2.0914 -2.4656 0.0466 Tb
2.7049 -6.8992 5.1102 Y
-1.1802 -2.4793 1.5657 Y
2.5055 -6.4948 8.7532 Y
1.8429 -2.0077 3.5938 Y
-0.6653 -3.2275 -1.4619 Tl
3.8851 -4.4198 3.5445 Tl
```

Output
Crystal system: tetragonal
ρ (Mg/m³): 7.01
Energy of formation (eV/atom): -0.007
Electronic total energy (eV per atom): -4.92